Model w:
Density functional theory data (PBE-GGA) for PrYGaHg after structural relaxation.

a b c (Å): 5.293 5.293 5.293
angles (deg): 60.00 60.00 60.00
Fractional positions:
1 Pr 0.500 0.500 0.500
2 Hg 0.250 0.250 0.250
3 Ga 0.750 0.750 0.750
4 Y 0.000 0.000 0.000

Magnetization   0.0003 μB/atom
Space group   No. 216
ρ   7.92 g/cm³



Model x:
Density functional theory data (PBE-GGA) for PrYGaHg after structural relaxation.

a b c (Å): 3.676 3.676 7.651
angles (deg): 90.00 90.00 90.00
Fractional positions:
1 Hg 0.500 0.500 0.127
2 Y 0.000 0.000 0.368
3 Pr 0.000 0.000 0.840
4 Ga 0.500 0.500 0.593

Magnetization   0.0000 μB/atom
Space group   No. 99
ρ   8.03 g/cm³



The structure with the greatest stability is model x.



Model w:
Density functional theory data (PBE-GGA) for Ga2SnHgPt after structural relaxation.

a b c (Å): 4.819 4.819 5.472
angles (deg): 90.00 90.00 90.00
Fractional positions:
1 Ga 0.000 0.500 0.000
2 Ga 0.500 0.000 0.000
3 Sn 0.000 0.000 0.500
4 Hg 0.500 0.500 0.500
5 Pt 0.000 0.000 0.000

Magnetization   0.0000 μB/atom
Space group   No. 123
ρ   8.54 g/cm³



Model x:
Density functional theory data (PBE-GGA) for Ga2SnHgPt after structural relaxation.

a b c (Å): 5.228 5.329 5.228
angles (deg): 90.00 90.00 90.00
Fractional positions:
1 Ga 0.500 0.000 0.000
2 Hg 0.000 0.500 0.000
3 Pt 0.500 0.500 0.500
4 Sn 0.000 0.000 0.000
5 Ga 0.000 0.000 0.500

Magnetization   0.0000 μB/atom
Space group   No. 123
ρ   7.45 g/cm³



The structure with the greatest stability is model w.



Model w:
Density functional theory data (PBE-GGA) for PuGa2Hg after structural relaxation.

a b c (Å): 3.488 3.488 7.112
angles (deg): 90.00 90.00 90.00
Fractional positions:
1 Ga 0.000 0.000 0.772
2 Ga 0.000 0.000 0.228
3 Hg 0.500 0.500 0.000
4 Pu 0.500 0.500 0.500

Magnetization   1.4788 μB/atom
Space group   No. 123
ρ   11.21 g/cm³



Model x:
Density functional theory data (PBE-GGA) for PuGa2Hg after structural relaxation.

a b c (Å): 4.076 4.623 4.623
angles (deg): 90.00 90.00 90.00
Fractional positions:
1 Ga 0.000 0.000 0.500
2 Hg 0.500 0.000 0.000
3 Ga 0.000 0.500 0.000
4 Pu 0.500 0.500 0.500

Magnetization   1.4179 μB/atom
Space group   No. 123
ρ   11.13 g/cm³



The structure with the greatest stability is model x.



Model w:
Density functional theory data (PBE-GGA) for PuGaHg after structural relaxation.

a b c (Å): 3.139 4.969 4.969
angles (deg): 120.00 90.00 90.00
Fractional positions:
1 Pu 0.667 0.667 0.333
2 Ga 0.167 0.333 0.667
3 Hg 0.166 0.000 0.000

Magnetization   1.8756 μB/atom
Space group   No. 187
ρ   12.73 g/cm³



Model x:
Density functional theory data (PBE-GGA) for PuGaHg after structural relaxation.

a b c (Å): 5.548 4.449 12.666
angles (deg): 125.99 90.00 90.00
Fractional positions:
1 Ga 0.372 0.086 0.805
2 Ga 0.128 0.586 0.805
3 Ga 0.628 0.914 0.195
4 Hg 0.450 0.614 0.396
5 Pu 0.158 0.705 0.070
6 Hg 0.950 0.886 0.604
7 Hg 0.050 0.114 0.396
8 Pu 0.342 0.205 0.070
9 Ga 0.872 0.414 0.195
10 Hg 0.550 0.386 0.604
11 Pu 0.842 0.295 0.930
12 Pu 0.658 0.795 0.930

Magnetization   0.3719 μB/atom
Space group   No. 14
ρ   13.50 g/cm³



The structure with the greatest stability is model w.



Model w:
Density functional theory data (PBE-GGA) for PuGaHg after structural relaxation.

a b c (Å): 4.773 4.773 4.773
angles (deg): 60.00 60.00 60.00
Fractional positions:
1 Hg 0.000 0.000 0.000
2 Ga 0.250 0.250 0.250
3 Pu 0.500 0.500 0.500

Magnetization   1.7299 μB/atom
Space group   No. 216
ρ   11.11 g/cm³



Model x:
Density functional theory data (PBE-GGA) for PuGaHg after structural relaxation.

a b c (Å): 3.237 3.237 6.865
angles (deg): 103.63 103.63 90.00
Fractional positions:
1 Hg 0.626 0.626 0.252
2 Pu 0.943 0.943 0.885
3 Ga 0.282 0.282 0.563

Magnetization   1.8923 μB/atom
Space group   No. 107
ρ   12.60 g/cm³



The structure with the greatest stability is model x.



Model w:
Density functional theory data (PBE-GGA) for PuScGaHg after structural relaxation.

a b c (Å): 5.069 5.069 5.069
angles (deg): 60.00 60.00 60.00
Fractional positions:
1 Hg 0.750 0.750 0.750
2 Ga 0.250 0.250 0.250
3 Sc 0.500 0.500 0.500
4 Pu 0.000 0.000 0.000

Magnetization   1.5473 μB/atom
Space group   No. 216
ρ   10.09 g/cm³



Model x:
Density functional theory data (PBE-GGA) for PuScGaHg after structural relaxation.

a b c (Å): 3.441 3.441 7.551
angles (deg): 90.00 90.00 90.00
Fractional positions:
1 Sc 0.500 0.500 0.337
2 Ga 0.000 0.000 0.545
3 Pu 0.500 0.500 0.801
4 Hg 0.000 0.000 0.101

Magnetization   1.4658 μB/atom
Space group   No. 99
ρ   10.39 g/cm³



The structure with the greatest stability is model x.



Model w:
Density functional theory data (PBE-GGA) for Rb2GaHg after structural relaxation.

a b c (Å): 6.206 6.206 6.206
angles (deg): 60.00 60.00 60.00
Fractional positions:
1 Rb 0.750 0.750 0.750
2 Rb 0.250 0.250 0.250
3 Hg 0.500 0.500 0.500
4 Ga 0.000 0.000 0.000

Magnetization   0.3659 μB/atom
Space group   No. 225
ρ   4.34 g/cm³



Model x:
Density functional theory data (PBE-GGA) for Rb2GaHg after structural relaxation.

a b c (Å): 4.094 4.094 12.854
angles (deg): 80.84 80.84 60.00
Fractional positions:
1 Rb 0.908 0.908 0.275
2 Ga 0.000 0.000 0.000
3 Hg 0.500 0.500 0.500
4 Rb 0.092 0.092 0.725

Magnetization   0.0000 μB/atom
Space group   No. 166
ρ   4.00 g/cm³



The structure with the greatest stability is model w.



Model w:
Density functional theory data (PBE-GGA) for Rb2Ga2Hg after structural relaxation.

a b c (Å): 10.362 10.362 3.763
angles (deg): 90.00 90.00 90.00
Fractional positions:
1 Hg 0.500 0.500 0.000
2 Rb 0.296 0.204 0.500
3 Ga 0.583 0.083 0.000
4 Hg 0.000 0.000 0.000
5 Ga 0.417 0.917 0.000
6 Ga 0.917 0.583 0.000
7 Rb 0.796 0.296 0.500
8 Ga 0.083 0.417 0.000
9 Rb 0.204 0.704 0.500
10 Rb 0.704 0.796 0.500

Magnetization   0.0000 μB/atom
Space group   No. 127
ρ   4.20 g/cm³



Model x:
Density functional theory data (PBE-GGA) for Rb2Ga2Hg after structural relaxation.

a b c (Å): 7.115 7.115 6.445
angles (deg): 56.50 56.50 90.00
Fractional positions:
1 Hg 0.000 0.000 0.000
2 Ga 0.349 0.349 0.301
3 Rb 0.750 0.250 0.500
4 Ga 0.651 0.651 0.699
5 Rb 0.250 0.750 0.500

Magnetization   0.0008 μB/atom
Space group   No. 139
ρ   4.16 g/cm³



Model y:
Density functional theory data (PBE-GGA) for Rb2Ga2Hg after structural relaxation.

a b c (Å): 3.924 3.924 12.118
angles (deg): 80.68 80.68 90.00
Fractional positions:
1 Rb 0.389 0.389 0.223
2 Ga 0.750 0.250 0.500
3 Ga 0.250 0.750 0.500
4 Hg 0.000 0.000 0.000
5 Rb 0.611 0.611 0.777

Magnetization   0.0000 μB/atom
Space group   No. 139
ρ   4.67 g/cm³



The structure with the greatest stability is model y.



Model w:
Density functional theory data (PBE-GGA) for RbZnGaHg2 after structural relaxation.

a b c (Å): 5.469 5.469 5.041
angles (deg): 90.00 90.00 90.00
Fractional positions:
1 Rb 0.500 0.500 0.500
2 Hg 0.500 0.000 0.000
3 Ga 0.000 0.000 0.500
4 Zn 0.000 0.000 0.000
5 Hg 0.000 0.500 0.000

Magnetization   0.0000 μB/atom
Space group   No. 123
ρ   6.85 g/cm³



Model x:
Density functional theory data (PBE-GGA) for RbZnGaHg2 after structural relaxation.

a b c (Å): 5.484 5.484 5.168
angles (deg): 90.00 90.00 90.00
Fractional positions:
1 Rb 0.500 0.500 0.500
2 Zn 0.000 0.000 0.500
3 Ga 0.000 0.000 0.000
4 Hg 0.000 0.500 0.000
5 Hg 0.500 0.000 0.000

Magnetization   0.0000 μB/atom
Space group   No. 123
ρ   6.64 g/cm³



The structure with the greatest stability is model x.



Model w:
Density functional theory data (PBE-GGA) for GaRe3Hg after structural relaxation.

a b c (Å): 4.564 4.564 4.564
angles (deg): 90.00 90.00 90.00
Fractional positions:
1 Ga 0.000 0.000 0.000
2 Hg 0.500 0.500 0.500
3 Re 0.000 0.500 0.000
4 Re 0.500 0.000 0.000
5 Re 0.000 0.000 0.500

Magnetization   0.0001 μB/atom
Space group   No. 221
ρ   14.48 g/cm³



Model x:
Density functional theory data (PBE-GGA) for GaRe3Hg after structural relaxation.

a b c (Å): 4.938 4.938 4.938
angles (deg): 90.00 90.00 90.00
Fractional positions:
1 Ga 0.500 0.500 0.500
2 Re 0.000 0.500 0.000
3 Hg 0.000 0.000 0.000
4 Re 0.000 0.000 0.500
5 Re 0.500 0.000 0.000

Magnetization   0.9863 μB/atom
Space group   No. 221
ρ   11.43 g/cm³



The structure with the greatest stability is model w.



Model w:
Density functional theory data (PBE-GGA) for SrGaRe2Hg after structural relaxation.

a b c (Å): 5.213 4.968 5.213
angles (deg): 90.00 90.00 90.00
Fractional positions:
1 Re 0.500 0.000 0.000
2 Re 0.000 0.000 0.500
3 Ga 0.000 0.500 0.000
4 Hg 0.000 0.000 0.000
5 Sr 0.500 0.500 0.500

Magnetization   0.9754 μB/atom
Space group   No. 123
ρ   8.98 g/cm³



Model x:
Density functional theory data (PBE-GGA) for SrGaRe2Hg after structural relaxation.

a b c (Å): 4.690 5.446 4.690
angles (deg): 90.00 90.00 90.00
Fractional positions:
1 Ga 0.000 0.000 0.000
2 Sr 0.000 0.500 0.000
3 Re 0.500 0.000 0.000
4 Hg 0.500 0.500 0.500
5 Re 0.000 0.000 0.500

Magnetization   0.0006 μB/atom
Space group   No. 123
ρ   10.12 g/cm³



The structure with the greatest stability is model x.



Model w:
Density functional theory data (PBE-GGA) for GaHgRh3 after structural relaxation.

a b c (Å): 4.571 4.571 4.571
angles (deg): 90.00 90.00 90.00
Fractional positions:
1 Rh 0.000 0.500 0.000
2 Rh 0.500 0.000 0.000
3 Ga 0.000 0.000 0.000
4 Rh 0.000 0.000 0.500
5 Hg 0.500 0.500 0.500

Magnetization   0.3377 μB/atom
Space group   No. 221
ρ   10.07 g/cm³



Model x:
Density functional theory data (PBE-GGA) for GaHgRh3 after structural relaxation.

a b c (Å): 4.944 4.944 4.944
angles (deg): 90.00 90.00 90.00
Fractional positions:
1 Hg 0.000 0.000 0.000
2 Rh 0.500 0.000 0.000
3 Ga 0.500 0.500 0.500
4 Rh 0.000 0.000 0.500
5 Rh 0.000 0.500 0.000

Magnetization   0.2907 μB/atom
Space group   No. 221
ρ   7.95 g/cm³



The structure with the greatest stability is model w.